## Sr5Ca3TiMn7O24 (GGA-PBEsol)

Data for crystalline Sr5Ca3TiMn7O24 at its relaxed geometry.

Calculated values
**Uncorrected formation energy**: -2.393 eV per atom
**DOS(E_F)**: 3.2 states/eV per cell
**Space group**: P1, No. 1

Cell: 7.5091 7.5693 7.5698 Å, 89.38 89.97 89.98°
Sites, in units of the cell vectors:
Sr  0.0000  0.0000  0.0000
Sr  0.0001  0.4982  0.5017
Sr  0.4964  0.4969  0.9993
Sr  0.9975  0.9971  0.4987
Sr  0.9982  0.4956  0.9973
Ca  0.4955  0.9984  0.5012
Ca  0.4973  0.4908  0.5007
Ca  0.4972  0.9977  0.9938
Ti  0.7448  0.7490  0.2512
Mn  0.2508  0.2450  0.2490
Mn  0.2508  0.7468  0.7472
Mn  0.2507  0.7481  0.2503
Mn  0.2518  0.2452  0.7476
Mn  0.7444  0.2461  0.2498
Mn  0.7445  0.7476  0.7483
Mn  0.7445  0.2461  0.7484
O  0.0029  0.7261  0.2283
O  0.2209  0.7516  0.5009
O  0.2207  0.9989  0.2521
O  0.2248  0.2492  0.9997
O  0.2246  0.4978  0.7500
O  0.2824  0.7557  0.9996
O  0.2827  0.4976  0.2589
O  0.2868  0.2462  0.4998
O  0.2871  0.9979  0.7495
O  0.4930  0.7762  0.2776
O  0.4971  0.2107  0.2171
O  0.4971  0.7152  0.7127
O  0.4980  0.2739  0.7750
O  0.7078  0.2450  0.4991
O  0.7076  0.9972  0.7482
O  0.7196  0.4925  0.2546
O  0.7199  0.7517  0.9945
O  0.7687  0.0022  0.2503
O  0.7685  0.7492  0.5042
O  0.7720  0.2470  0.9985
O  0.7721  0.4966  0.7480
O  0.9983  0.2225  0.7246
O  0.9982  0.2715  0.2742
O  0.9982  0.7725  0.7732